Entry from Alexandria: an optimized crystal structure of KAs2F6 (PBE).

Lattice parameters (Å, degrees): 7.563 7.563 5.650 93.66 93.66 88.51
Element x y z (fractional)
K 0.152 0.848 0.750
K 0.848 0.152 0.250
As 0.273 0.363 0.873
As 0.363 0.273 0.373
As 0.637 0.727 0.627
As 0.727 0.637 0.127
F 0.079 0.471 0.741
F 0.110 0.188 0.945
F 0.188 0.110 0.445
F 0.331 0.592 0.993
F 0.408 0.669 0.507
F 0.471 0.079 0.241
F 0.529 0.921 0.759
F 0.592 0.331 0.493
F 0.669 0.408 0.007
F 0.812 0.890 0.555
F 0.890 0.812 0.055
F 0.921 0.529 0.259

**Formation energy without anion corrections**: -201.5 kJ per mole of atoms
**SG**: No. 15



Entry from Alexandria: an optimized crystal structure of KMnRh2 (PBE).

Lattice parameters (Å, degrees): 2.911 2.911 8.466 90.00 90.14 90.00
Element x y z (fractional)
K 0.000 0.000 0.000
Mn 0.000 0.000 0.500
Rh 0.499 0.500 0.317
Rh 0.501 0.500 0.683

**SG**: No. 10
**ΔE to the lowest computed polymorph**: 0 meV per atom